1.
Be2CdHg after structural relaxation, computed with PBE.

a b c (Å): 5.3669 5.3669 5.3669
angles (deg): 150.35 112.54 75.38
With the nearest neighbours (Å) after each atom.
Sites, in units of the cell vectors:
Be: 0.2466 0.2466 0.0000  2 Hg 2.50, 2 Cd 2.55, 2 Be 2.75
Be: 0.7534 0.7534 0.0000  2 Hg 2.50, 2 Cd 2.55, 2 Be 2.75
Cd: 0.5000 0.0000 0.5000  4 Be 2.55, 2 Cd 2.75
Hg: 0.0000 0.5000 0.5000  4 Be 2.50, 2 Hg 2.75

Results
DFT formation energy (eV/atom): 0.56
Offset from the most stable computed form (meV/atom): 221

***

2.
BeCdHg after structural relaxation, computed with PBE.

a b c (Å): 6.1714 6.1714 6.1714
angles (deg): 151.32 151.32 41.01
With the nearest neighbours (Å) after each atom.
Sites, in units of the cell vectors:
Be: 0.0000 0.0000 0.0000  4 Hg 2.69, 4 Cd 2.73
Cd: 0.6444 0.6444 0.0000  4 Be 2.73, 4 Cd 3.06
Hg: 0.3614 0.3614 0.0000  4 Be 2.69

Results
DFT formation energy (eV/atom): 0.38
Offset from the most stable computed form (meV/atom): 79

***

3.
BeCdHg after structural relaxation, computed with PBE.

a b c (Å): 4.7942 4.7942 4.7942
angles (deg): 133.37 133.37 68.07
With the nearest neighbours (Å) after each atom.
Sites, in units of the cell vectors:
Be: 0.0000 0.0000 0.0000  1 Hg 2.57, 1 Cd 2.63
Cd: 0.3309 0.3309 0.0000  1 Be 2.63, 1 Hg 2.75
Hg: 0.6765 0.6765 0.0000  1 Be 2.57, 1 Cd 2.75

Results
DFT formation energy (eV/atom): 0.44
Offset from the most stable computed form (meV/atom): 143

***

4.
Be2CdHg after structural relaxation, computed with PBE.

a b c (Å): 8.1730 8.1730 8.1730
angles (deg): 21.58 21.58 21.58
With the nearest neighbours (Å) after each atom.
Sites, in units of the cell vectors:
Be: 0.2471 0.2471 0.2471  3 Hg 2.61, 3 Cd 2.72
Be: 0.7529 0.7529 0.7529  3 Hg 2.61, 3 Cd 2.72
Cd: 0.0000 0.0000 0.0000  6 Be 2.72
Hg: 0.5000 0.5000 0.5000  6 Be 2.61

Results
DFT formation energy (eV/atom): 0.58
Offset from the most stable computed form (meV/atom): 239

***

5.
BeCdHg4 after structural relaxation, computed with PBE.

a b c (Å): 6.0737 6.0737 6.0737
angles (deg): 60.00 60.00 60.00
With the nearest neighbours (Å) after each atom.
Sites, in units of the cell vectors:
Be: 0.0000 0.0000 0.0000  12 Hg 3.56, 4 Cd 3.72
Cd: 0.7500 0.7500 0.7500  12 Hg 3.56, 4 Be 3.72
Hg: 0.3747 0.3747 0.3747  6 Hg 3.03-3.04
Hg: 0.3747 0.3747 0.8758  6 Hg 3.03-3.04
Hg: 0.3747 0.8758 0.3747  6 Hg 3.03-3.04
Hg: 0.8758 0.3747 0.3747  6 Hg 3.03-3.04

Results
DFT formation energy (eV/atom): 0.57

***

6.
Be2CdHg after structural relaxation, computed with PBE.

a b c (Å): 4.5196 4.5196 4.5196
angles (deg): 60.00 60.00 60.00
With the nearest neighbours (Å) after each atom.
Sites, in units of the cell vectors:
Be: 0.0000 0.0000 0.0000  4 Cd 2.77, 4 Be 2.77
Be: 0.2500 0.2500 0.2500  4 Hg 2.77, 4 Be 2.77
Cd: 0.7500 0.7500 0.7500  4 Hg 2.77, 4 Be 2.77
Hg: 0.5000 0.5000 0.5000  4 Cd 2.77, 4 Be 2.77

Results
DFT formation energy (eV/atom): 0.70
Offset from the most stable computed form (meV/atom): 362

***

7.
Be2CdHg after structural relaxation, computed with PBE.

a b c (Å): 3.2535 3.2535 8.5493
angles (deg): 90.00 90.00 130.05
With the nearest neighbours (Å) after each atom.
Sites, in units of the cell vectors:
Be: 0.0000 0.0000 0.2464  2 Hg 2.52, 2 Cd 2.57, 2 Be 2.75
Be: 0.0000 0.0000 0.7536  2 Hg 2.52, 2 Cd 2.57, 2 Be 2.75
Cd: 0.5000 0.5000 0.5000  4 Be 2.57, 2 Cd 2.75
Hg: 0.5000 0.5000 0.0000  4 Be 2.52, 2 Hg 2.75

Results
DFT formation energy (eV/atom): 0.55
Offset from the most stable computed form (meV/atom): 215

***

8.
Be2CdHg after structural relaxation, computed with PBE.

a b c (Å): 3.3613 4.1927 4.8144
angles (deg): 90.00 90.00 90.00
With the nearest neighbours (Å) after each atom.
Sites, in units of the cell vectors:
Be: 0.0000 0.0000 0.2377  2 Be 2.29-2.53, 2 Hg 2.45
Be: 0.0000 0.0000 0.7623  2 Be 2.29-2.53, 2 Hg 2.45
Cd: 0.5000 0.5000 0.0000  8 Be 2.92, 4 Hg 2.94
Hg: 0.0000 0.5000 0.5000  4 Be 2.45

Results
DFT formation energy (eV/atom): 0.48
Offset from the most stable computed form (meV/atom): 143